TaTiVO6 | GGA+U | relaxed

The structure belongs to space group P4_2nm (No. 102); the cell edges are 4.712, 4.712 and 9.118 Å and the angles 90.00°, 90.00° and 90.00°. The inequivalent atoms are Ta at (0.000, 0.000, 0.000), Ti at (0.000, 0.000, 0.338), V at (0.000, 0.000, 0.668), O at (0.193, 0.193, 0.169), O at (0.198, 0.198, 0.496) and O at (0.202, 0.202, 0.840).

The total energy is -9.0306 eV/atom.